NaHgW2 GGA-PBE optimized geometry; energy of formation from the pure elements = 1.65 eV per atom; space-group type = No. 122
1.0
8.158 0.000 0.000
0.000 8.158 0.000
0.000 0.000 5.002
Na Hg W
4 4 8
direct
0.000 0.000 0.000
0.000 0.500 0.250
0.500 0.000 0.750
0.500 0.500 0.500
0.000 0.000 0.500
0.000 0.500 0.750
0.500 0.000 0.250
0.500 0.500 0.000
0.210 0.250 0.625
0.250 0.710 0.875
0.250 0.790 0.375
0.290 0.250 0.125
0.710 0.750 0.125
0.750 0.210 0.375
0.750 0.290 0.875
0.790 0.750 0.625


Na2CaAgI5 GGA-PBE optimized geometry; raw formation energy = -1.13 eV per atom; space-group type = No. 36
1.0
2.271 -10.257 0.000
2.271 10.257 0.000
0.000 0.000 16.364
Na Ca Ag I
4 2 2 10
direct
0.024 0.976 0.500
0.088 0.912 0.757
0.912 0.088 0.257
0.976 0.024 0.000
0.258 0.742 0.111
0.742 0.258 0.611
0.373 0.627 0.513
0.627 0.373 0.013
0.103 0.897 0.118
0.238 0.762 0.476
0.239 0.761 0.743
0.414 0.586 0.113
0.465 0.535 0.381
0.535 0.465 0.881
0.586 0.414 0.613
0.761 0.239 0.243
0.762 0.238 0.976
0.897 0.103 0.618


Li2PtN2 GGA-PBE optimized geometry; raw formation energy = -0.05 eV per atom; space-group type = No. 127
1.0
5.134 0.000 0.000
0.000 5.134 0.000
0.000 0.000 3.625
Li Pt N
4 2 4
direct
0.167 0.333 0.000
0.333 0.833 0.000
0.667 0.167 0.000
0.833 0.667 0.000
0.000 0.000 0.500
0.500 0.500 0.500
0.102 0.602 0.500
0.398 0.102 0.500
0.602 0.898 0.500
0.898 0.398 0.500


Pr2Ga3Au5 GGA-PBE optimized geometry; energy of formation from the pure elements = -0.59 eV per atom; space-group type = No. 36; relative energy among the computed polymorphs = 22 meV per atom
1.0
2.315 -12.409 0.000
2.315 12.409 0.000
0.000 0.000 7.273
Pr Ga Au
4 6 10
direct
0.020 0.980 0.500
0.325 0.675 0.503
0.675 0.325 0.003
0.980 0.020 0.000
0.103 0.897 0.824
0.272 0.728 0.979
0.449 0.551 0.690
0.551 0.449 0.190
0.728 0.272 0.479
0.897 0.103 0.324
0.104 0.896 0.191
0.199 0.801 0.684
0.214 0.786 0.283
0.380 0.620 0.975
0.448 0.552 0.303
0.552 0.448 0.803
0.620 0.380 0.475
0.786 0.214 0.783
0.801 0.199 0.184
0.896 0.104 0.691


SmY3Ho2Sb6 GGA-PBE optimized geometry; raw formation energy = -1.15 eV per atom; space-group type = No. 12
1.0
3.809 -6.598 0.000
3.809 6.598 0.000
-2.539 0.000 7.178
Sm Y Ho Sb
1 3 2 6
direct
0.000 0.000 0.000
0.165 0.835 0.500
0.500 0.500 0.500
0.835 0.165 0.500
0.333 0.667 0.000
0.667 0.333 0.000
0.084 0.421 0.251
0.254 0.254 0.750
0.421 0.084 0.251
0.579 0.916 0.749
0.746 0.746 0.250
0.916 0.579 0.749


CuBPS2 GGA-PBE optimized geometry; raw formation energy = 0.88 eV per atom; space-group type = No. 123; relative energy among the computed polymorphs = 0 meV per atom
1.0
4.365 0.000 0.000
0.000 4.365 0.000
0.000 0.000 3.830
Cu B P S
1 1 1 2
direct
0.000 0.000 0.000
0.500 0.500 0.500
0.500 0.500 0.000
0.000 0.500 0.500
0.500 0.000 0.500